[1]
Th2Ga4Ni3Ru: optimized geometry, PBE.

The space group is P-4m2 (No. 115) and the conventional cell measures 4.2259, 4.2259 and 9.7876 Å, with angles of 90.00, 90.00 and 90.00 degrees. The asymmetric unit holds Th at (0.0000, 0.5000, 0.2437), Ga at (0.0000, 0.0000, 0.5000), Ga at (0.0000, 0.5000, 0.8681), Ga at (0.5000, 0.5000, 0.5000), Ni at (0.0000, 0.0000, 0.0000), Ni at (0.0000, 0.5000, 0.6262) and Ru at (0.5000, 0.5000, 0.0000).

The final energy is -5.93 eV/atom. The energy of formation from the pure elements is -0.576 eV per atom.

---

[2]
ThGa4Ni2Ru: optimized geometry, PBE.

The space group is R-3m (No. 166, hexagonal axes) and the conventional cell measures 4.1373, 4.1373 and 26.7552 Å, with angles of 90.00, 90.00 and 120.00 degrees. The asymmetric unit holds Th at (0.0000, 0.0000, 0.0000), Ga at (0.0000, 0.0000, 0.1309), Ga at (0.0000, 0.0000, 0.4041), Ni at (0.0000, 0.0000, 0.2317) and Ru at (0.0000, 0.0000, 0.5000).

The final energy is -5.47 eV/atom. The energy of formation from the pure elements is -0.428 eV per atom.

---

[3]
ThGa2NiRu2: optimized geometry, PBE.

The space group is P4/mmm (No. 123) and the conventional cell measures 4.4945, 4.4945 and 5.3477 Å, with angles of 90.00, 90.00 and 90.00 degrees. The asymmetric unit holds Th at (0.0000, 0.0000, 0.0000), Ga at (0.0000, 0.5000, 0.5000), Ni at (0.0000, 0.0000, 0.5000) and Ru at (0.5000, 0.5000, 0.2247).

The final energy is -6.42 eV/atom. The energy of formation from the pure elements is -0.117 eV per atom.

---

[4]
Tm2Ga4Ni3Ru: optimized geometry, PBE.

The space group is P-4m2 (No. 115) and the conventional cell measures 4.1075, 4.1075 and 9.7996 Å, with angles of 90.00, 90.00 and 90.00 degrees. The asymmetric unit holds Tm at (0.0000, 0.5000, 0.2426), Ga at (0.0000, 0.0000, 0.5000), Ga at (0.0000, 0.5000, 0.8656), Ga at (0.5000, 0.5000, 0.5000), Ni at (0.0000, 0.0000, 0.0000), Ni at (0.0000, 0.5000, 0.6283) and Ru at (0.5000, 0.5000, 0.0000).

The final energy is -5.31 eV/atom. The energy of formation from the pure elements is -0.546 eV per atom.

---

[5]
TmGa4Ni2Ru: optimized geometry, PBE.

The space group is R-3m (No. 166, hexagonal axes) and the conventional cell measures 4.0929, 4.0929 and 26.1331 Å, with angles of 90.00, 90.00 and 120.00 degrees. The asymmetric unit holds Tm at (0.0000, 0.0000, 0.0000), Ga at (0.0000, 0.0000, 0.1294), Ga at (0.0000, 0.0000, 0.4004), Ni at (0.0000, 0.0000, 0.2341) and Ru at (0.0000, 0.0000, 0.5000).

The final energy is -5.11 eV/atom. The energy of formation from the pure elements is -0.432 eV per atom.

---

[6]
TmGa2Ni2Ru: optimized geometry, PBE.

The space group is P4/mmm (No. 123) and the conventional cell measures 4.6267, 4.6267 and 5.1642 Å, with angles of 90.00, 90.00 and 90.00 degrees. The asymmetric unit holds Tm at (0.0000, 0.0000, 0.0000), Ga at (0.0000, 0.5000, 0.5000), Ni at (0.5000, 0.5000, 0.2479) and Ru at (0.0000, 0.0000, 0.5000).

The final energy is -5.20 eV/atom. The energy of formation from the pure elements is 0.025 eV per atom.

---

[7]
Tm2Ga3Ni4Ru: optimized geometry, PBE.

The space group is P-4m2 (No. 115) and the conventional cell measures 3.8421, 3.8421 and 10.7120 Å, with angles of 90.00, 90.00 and 90.00 degrees. The asymmetric unit holds Tm at (0.0000, 0.5000, 0.2415), Ga at (0.0000, 0.0000, 0.0000), Ga at (0.0000, 0.5000, 0.6330), Ni at (0.0000, 0.0000, 0.5000), Ni at (0.0000, 0.5000, 0.8537), Ni at (0.5000, 0.5000, 0.5000) and Ru at (0.5000, 0.5000, 0.0000).

The final energy is -5.53 eV/atom. The energy of formation from the pure elements is -0.486 eV per atom.

---

[8]
TmGa4NiRu2: optimized geometry, PBE.

The space group is R-3m (No. 166, hexagonal axes) and the conventional cell measures 4.2154, 4.2154 and 24.8734 Å, with angles of 90.00, 90.00 and 120.00 degrees. The asymmetric unit holds Tm at (0.0000, 0.0000, 0.0000), Ga at (0.0000, 0.0000, 0.1315), Ga at (0.0000, 0.0000, 0.3984), Ni at (0.0000, 0.0000, 0.5000) and Ru at (0.0000, 0.0000, 0.2351).

The final energy is -5.53 eV/atom. The energy of formation from the pure elements is -0.417 eV per atom.

---

[9]
Tm2Ga5NiRu2: optimized geometry, PBE.

The space group is P4/mbm (No. 127) and the conventional cell measures 10.2936, 10.2936 and 3.2173 Å, with angles of 90.00, 90.00 and 90.00 degrees. The asymmetric unit holds Tm at (0.1817, 0.3183, 0.0000), Ga at (0.0000, 0.5000, 0.5000), Ga at (0.0540, 0.8152, 0.5000), Ni at (0.0000, 0.0000, 0.0000) and Ru at (0.1290, 0.6290, 0.0000).

The final energy is -5.23 eV/atom. The energy of formation from the pure elements is -0.388 eV per atom.

---

[10]
Y2Ga4Ni3Ru: optimized geometry, PBE.

The space group is P-4m2 (No. 115) and the conventional cell measures 4.1497, 4.1497 and 9.7849 Å, with angles of 90.00, 90.00 and 90.00 degrees. The asymmetric unit holds Y at (0.0000, 0.5000, 0.2440), Ga at (0.0000, 0.0000, 0.5000), Ga at (0.0000, 0.5000, 0.8670), Ga at (0.5000, 0.5000, 0.5000), Ni at (0.0000, 0.0000, 0.0000), Ni at (0.0000, 0.5000, 0.6266) and Ru at (0.5000, 0.5000, 0.0000).

The final energy is -5.73 eV/atom. The energy of formation from the pure elements is -0.561 eV per atom.

---

[11]
YGa5Ni2Ru: optimized geometry, PBE.

The space group is P4/mmm (No. 123) and the conventional cell measures 4.6066, 4.6066 and 7.0279 Å, with angles of 90.00, 90.00 and 90.00 degrees. The asymmetric unit holds Y at (0.0000, 0.0000, 0.0000), Ga at (0.0000, 0.5000, 0.3050), Ga at (0.5000, 0.5000, 0.0000), Ni at (0.5000, 0.5000, 0.3277) and Ru at (0.0000, 0.0000, 0.5000).

The final energy is -4.95 eV/atom. The energy of formation from the pure elements is -0.232 eV per atom.

---

[12]
YGa2NiRu: optimized geometry, PBE.

The space group is I-4m2 (No. 119) and the conventional cell measures 4.1373, 4.1373 and 10.1579 Å, with angles of 90.00, 90.00 and 90.00 degrees. The asymmetric unit holds Y at (0.0000, 0.0000, 0.0000), Ga at (0.0000, 0.0000, 0.3747), Ni at (0.0000, 0.5000, 0.2500) and Ru at (0.0000, 0.5000, 0.7500).

The final energy is -6.02 eV/atom. The energy of formation from the pure elements is -0.506 eV per atom.

---

[13]
YGa4NiRu2: optimized geometry, PBE.

The space group is R-3m (No. 166, hexagonal axes) and the conventional cell measures 4.2177, 4.2177 and 25.3222 Å, with angles of 90.00, 90.00 and 120.00 degrees. The asymmetric unit holds Y at (0.0000, 0.0000, 0.0000), Ga at (0.0000, 0.0000, 0.1314), Ga at (0.0000, 0.0000, 0.4002), Ni at (0.0000, 0.0000, 0.5000) and Ru at (0.0000, 0.0000, 0.2330).

The final energy is -5.80 eV/atom. The energy of formation from the pure elements is -0.434 eV per atom.

---

[14]
YGa2Ni2Ru: optimized geometry, PBE.

The space group is P4/mmm (No. 123) and the conventional cell measures 4.6341, 4.6341 and 5.2230 Å, with angles of 90.00, 90.00 and 90.00 degrees. The asymmetric unit holds Y at (0.0000, 0.0000, 0.0000), Ga at (0.0000, 0.5000, 0.5000), Ni at (0.5000, 0.5000, 0.2494) and Ru at (0.0000, 0.0000, 0.5000).

The final energy is -5.54 eV/atom. The energy of formation from the pure elements is 0.016 eV per atom.

---

[15]
Y2Ga3Ni4Ru: optimized geometry, PBE.

The space group is P-4m2 (No. 115) and the conventional cell measures 3.9071, 3.9071 and 10.5914 Å, with angles of 90.00, 90.00 and 90.00 degrees. The asymmetric unit holds Y at (0.0000, 0.5000, 0.2440), Ga at (0.0000, 0.0000, 0.0000), Ga at (0.0000, 0.5000, 0.6312), Ni at (0.0000, 0.0000, 0.5000), Ni at (0.0000, 0.5000, 0.8567), Ni at (0.5000, 0.5000, 0.5000) and Ru at (0.5000, 0.5000, 0.0000).

The final energy is -5.92 eV/atom. The energy of formation from the pure elements is -0.483 eV per atom.

---

[16]
ZrGaNiRu: optimized geometry, PBE.

The space group is F-43m (No. 216) and the conventional cell measures 6.2469, 6.2469 and 6.2469 Å, with angles of 90.00, 90.00 and 90.00 degrees. The asymmetric unit holds Zr at (0.0000, 0.0000, 0.0000), Ga at (0.0000, 0.0000, 0.5000), Ni at (0.2500, 0.2500, 0.2500) and Ru at (0.2500, 0.2500, 0.7500).

The final energy is -7.14 eV/atom. The energy of formation from the pure elements is -0.483 eV per atom.

---

[17]
GaNiS3: optimized geometry, PBE.

The space group is Pm-3m (No. 221) and the conventional cell measures 4.4703, 4.4703 and 4.4703 Å, with angles of 90.00, 90.00 and 90.00 degrees. The asymmetric unit holds Ga at (0.0000, 0.0000, 0.0000), Ni at (0.5000, 0.5000, 0.5000) and S at (0.0000, 0.5000, 0.5000).

The value obtained for the polymorph energy (0 for the lowest one) is 0.000 eV/f.u. The final energy is -3.92 eV/atom. For the formation energy without anion corrections, the calculation gives 153 kJ/mol of formula units.

---

[18]
Ga3NiS: optimized geometry, PBE.

The space group is Pm-3m (No. 221) and the conventional cell measures 4.5831, 4.5831 and 4.5831 Å, with angles of 90.00, 90.00 and 90.00 degrees. The asymmetric unit holds Ga at (0.0000, 0.0000, 0.5000), Ni at (0.0000, 0.0000, 0.0000) and S at (0.5000, 0.5000, 0.5000).

The value obtained for the polymorph energy (0 for the lowest one) is 0.000 eV/f.u. The final energy is -3.91 eV/atom. For the formation energy without anion corrections, the calculation gives -53 kJ/mol of formula units.

---

[19]
Ga2NiS4: optimized geometry, PBE.

The space group is P-3m1 (No. 164) and the conventional cell measures 3.6476, 3.6476 and 12.6787 Å, with angles of 90.00, 90.00 and 120.00 degrees. The asymmetric unit holds Ga at (0.3333, 0.6667, 0.2327), Ni at (0.0000, 0.0000, 0.5000), S at (0.3333, 0.6667, 0.4085) and S at (0.3333, 0.6667, 0.8500).

The final energy is -4.58 eV/atom. For the formation energy without anion corrections, the calculation gives -357 kJ/mol of formula units.

---

[20]
GaNi3S: optimized geometry, PBE.

The space group is Pm-3m (No. 221) and the conventional cell measures 4.1607, 4.1607 and 4.1607 Å, with angles of 90.00, 90.00 and 90.00 degrees. The asymmetric unit holds Ga at (0.0000, 0.0000, 0.0000), Ni at (0.0000, 0.5000, 0.5000) and S at (0.5000, 0.5000, 0.5000).

The value obtained for the polymorph energy (0 for the lowest one) is 0.000 eV/f.u. The final energy is -4.87 eV/atom. For the formation energy without anion corrections, the calculation gives 17 kJ/mol of formula units.